1.
First-principles (GGA-PBE) data for a relaxed structure of Na2AcSn3Se6, as listed in Alexandria via LeMat-Bulk.

Results
Raw formation energy in meV/atom: -912
Mass density in g/cm3: 5.4
Total magnetization in μB/f.u.: 0.000

```
data_Na2AcSn3Se6
_space_group_name_H-M_alt 'C 1 2/m 1'
_space_group_IT_number 12
_space_group_name_Hall '-C 2y'
_cell_length_a 7.3723
_cell_length_b 12.7621
_cell_length_c 7.6412
_cell_angle_alpha 90.00
_cell_angle_beta 108.73
_cell_angle_gamma 90.00
loop_
_atom_site_label
_atom_site_fract_x
_atom_site_fract_y
_atom_site_fract_z
Na1 0.0000 0.1674 0.0000
Ac1 0.0000 0.5000 0.0000
Sn1 0.0000 0.0000 0.5000
Sn2 0.0000 0.3353 0.5000
Se1 0.2436 0.5000 0.7375
Se2 0.2479 0.1654 0.7417
```



2.
First-principles (GGA-PBE) data for a relaxed structure of Na4Ac3SnSe8, as listed in Alexandria via LeMat-Bulk.

Results
Raw formation energy in meV/atom: -1444
Mass density in g/cm3: 5.3
Total magnetization in μB/f.u.: 0.000

```
data_Na4Ac3SnSe8
_space_group_name_H-M_alt 'R -3 m'
_space_group_IT_number 166
_space_group_name_Hall '-R 3 2"'
_cell_length_a 8.8482
_cell_length_b 8.8482
_cell_length_c 21.1480
_cell_angle_alpha 90.00
_cell_angle_beta 90.00
_cell_angle_gamma 120.00
loop_
_atom_site_label
_atom_site_fract_x
_atom_site_fract_y
_atom_site_fract_z
Na1 0.0000 0.0000 0.0000
Na2 0.0000 0.5000 0.0000
Ac1 0.0000 0.5000 0.5000
Sn1 0.0000 0.0000 0.5000
Se1 0.0000 0.0000 0.2489
Se2 0.0165 0.5082 0.2465
```



3.
First-principles (GGA-PBE) data for a relaxed structure of Na2AcSnSe4, as listed in Alexandria via LeMat-Bulk.

Results
Raw formation energy in meV/atom: -1173
Mass density in g/cm3: 5.1
Total magnetization in μB/f.u.: 0.000

```
data_Na2AcSnSe4
_space_group_name_H-M_alt 'P 1 2/m 1'
_space_group_IT_number 10
_space_group_name_Hall '-P 2y'
_cell_length_a 7.4872
_cell_length_b 4.3218
_cell_length_c 7.4965
_cell_angle_alpha 90.00
_cell_angle_beta 109.36
_cell_angle_gamma 90.00
loop_
_atom_site_label
_atom_site_fract_x
_atom_site_fract_y
_atom_site_fract_z
Na1 0.0000 0.0000 0.0000
Na2 0.5000 0.5000 0.0000
Ac1 0.0000 0.5000 0.5000
Sn1 0.5000 0.0000 0.5000
Se1 0.2644 0.0000 0.7424
Se2 0.2702 0.5000 0.2639
```



4.
First-principles (GGA-PBE) data for a relaxed structure of NaAc2SnSe5, as listed in Alexandria via LeMat-Bulk.

Results
Raw formation energy in meV/atom: -1409
Mass density in g/cm3: 6.4
Total magnetization in μB/f.u.: 0.000

```
data_NaAc2SnSe5
_space_group_name_H-M_alt 'C m c 21'
_space_group_IT_number 36
_space_group_name_Hall 'C 2c -2'
_cell_length_a 4.4783
_cell_length_b 18.2269
_cell_length_c 12.6855
_cell_angle_alpha 90.00
_cell_angle_beta 90.00
_cell_angle_gamma 90.00
loop_
_atom_site_label
_atom_site_fract_x
_atom_site_fract_y
_atom_site_fract_z
Na1 0.0000 0.2106 0.0000
Ac1 0.0000 0.1193 0.6743
Ac2 0.0000 0.1406 0.2949
Sn1 0.0000 0.4512 0.4513
Se1 0.0000 0.0467 0.0688
Se2 0.0000 0.2888 0.6614
Se3 0.0000 0.3197 0.3395
Se4 0.0000 0.3697 0.9898
Se5 0.0000 0.4930 0.7564
```



5.
First-principles (GGA-PBE) data for a relaxed structure of NaAc2SnSe4, as listed in Alexandria via LeMat-Bulk.

Results
Raw formation energy in meV/atom: -1385
Mass density in g/cm3: 6.1
Total magnetization in μB/f.u.: 0.000

```
data_NaAc2SnSe4
_space_group_name_H-M_alt 'P 1 2/m 1'
_space_group_IT_number 10
_space_group_name_Hall '-P 2y'
_cell_length_a 7.4042
_cell_length_b 4.6180
_cell_length_c 7.7341
_cell_angle_alpha 90.00
_cell_angle_beta 111.06
_cell_angle_gamma 90.00
loop_
_atom_site_label
_atom_site_fract_x
_atom_site_fract_y
_atom_site_fract_z
Na1 0.0000 0.0000 0.0000
Ac1 0.5000 0.0000 0.5000
Ac2 0.5000 0.5000 0.0000
Sn1 0.0000 0.5000 0.5000
Se1 0.2454 0.0000 0.7497
Se2 0.2499 0.5000 0.2509
```



6.
First-principles (GGA-PBE) data for a relaxed structure of NaAc2Sn3Se6, as listed in Alexandria via LeMat-Bulk.

Results
Raw formation energy in meV/atom: -1053
Mass density in g/cm3: 5.9
Total magnetization in μB/f.u.: 0.000

```
data_NaAc2Sn3Se6
_space_group_name_H-M_alt 'C 1 2/m 1'
_space_group_IT_number 12
_space_group_name_Hall '-C 2y'
_cell_length_a 18.9367
_cell_length_b 4.6219
_cell_length_c 8.6394
_cell_angle_alpha 90.00
_cell_angle_beta 103.13
_cell_angle_gamma 90.00
loop_
_atom_site_label
_atom_site_fract_x
_atom_site_fract_y
_atom_site_fract_z
Na1 0.0000 0.0000 0.0000
Ac1 0.1642 0.5000 0.3134
Sn1 0.0000 0.0000 0.5000
Sn2 0.1588 0.5000 0.8522
Se1 0.0007 0.5000 0.7445
Se2 0.1656 0.0000 0.0624
Se3 0.1658 0.0000 0.5572
```



7.
First-principles (GGA-PBE) data for a relaxed structure of NaAcSn2Se4, as listed in Alexandria via LeMat-Bulk.

Results
Raw formation energy in meV/atom: -1035
Mass density in g/cm3: 5.6
Total magnetization in μB/f.u.: 0.000

```
data_NaAcSn2Se4
_space_group_name_H-M_alt 'P 1 2/m 1'
_space_group_IT_number 10
_space_group_name_Hall '-P 2y'
_cell_length_a 7.4229
_cell_length_b 4.3953
_cell_length_c 7.6522
_cell_angle_alpha 90.00
_cell_angle_beta 108.86
_cell_angle_gamma 90.00
loop_
_atom_site_label
_atom_site_fract_x
_atom_site_fract_y
_atom_site_fract_z
Na1 0.0000 0.0000 0.0000
Ac1 0.5000 0.5000 0.0000
Sn1 0.0000 0.5000 0.5000
Sn2 0.5000 0.0000 0.5000
Se1 0.2485 0.0000 0.7479
Se2 0.2541 0.5000 0.2555
```



8.
First-principles (GGA-PBE) data for a relaxed structure of NaSr3Ac4Se8, as listed in Alexandria via LeMat-Bulk.

Results
Raw formation energy in meV/atom: -1889
Mass density in g/cm3: 6.1
Total magnetization in μB/f.u.: 0.000

```
data_NaSr3Ac4Se8
_space_group_name_H-M_alt 'R -3 m'
_space_group_IT_number 166
_space_group_name_Hall '-R 3 2"'
_cell_length_a 8.8743
_cell_length_b 8.8743
_cell_length_c 21.9062
_cell_angle_alpha 90.00
_cell_angle_beta 90.00
_cell_angle_gamma 120.00
loop_
_atom_site_label
_atom_site_fract_x
_atom_site_fract_y
_atom_site_fract_z
Na1 0.0000 0.0000 0.0000
Sr1 0.0000 0.5000 0.0000
Ac1 0.0000 0.0000 0.5000
Ac2 0.0000 0.5000 0.5000
Se1 0.0000 0.0000 0.2513
Se2 0.0010 0.5005 0.7492
```



9.
First-principles (GGA-PBE) data for a relaxed structure of NaSr4Ac3Se8, as listed in Alexandria via LeMat-Bulk.

Results
Raw formation energy in meV/atom: -1918
Mass density in g/cm3: 5.6
Total magnetization in μB/f.u.: 0.000

```
data_NaSr4Ac3Se8
_space_group_name_H-M_alt 'R -3 m'
_space_group_IT_number 166
_space_group_name_Hall '-R 3 2"'
_cell_length_a 8.8795
_cell_length_b 8.8795
_cell_length_c 21.8586
_cell_angle_alpha 90.00
_cell_angle_beta 90.00
_cell_angle_gamma 120.00
loop_
_atom_site_label
_atom_site_fract_x
_atom_site_fract_y
_atom_site_fract_z
Na1 0.0000 0.0000 0.0000
Sr1 0.0000 0.0000 0.5000
Sr2 0.0000 0.5000 0.5000
Ac1 0.0000 0.5000 0.0000
Se1 0.0000 0.0000 0.2489
Se2 0.0002 0.5001 0.2502
```



10.
First-principles (GGA-PBE) data for a relaxed structure of NaSr2AcSe4, as listed in Alexandria via LeMat-Bulk.

Results
Raw formation energy in meV/atom: -1881
Mass density in g/cm3: 4.9
Total magnetization in μB/f.u.: 0.000

```
data_NaSr2AcSe4
_space_group_name_H-M_alt 'P 1 2/m 1'
_space_group_IT_number 10
_space_group_name_Hall '-P 2y'
_cell_length_a 7.6200
_cell_length_b 4.4818
_cell_length_c 7.6919
_cell_angle_alpha 90.00
_cell_angle_beta 108.82
_cell_angle_gamma 90.00
loop_
_atom_site_label
_atom_site_fract_x
_atom_site_fract_y
_atom_site_fract_z
Na1 0.0000 0.0000 0.0000
Sr1 0.0000 0.5000 0.5000
Sr2 0.5000 0.0000 0.5000
Ac1 0.5000 0.5000 0.0000
Se1 0.2514 0.0000 0.7540
Se2 0.2557 0.5000 0.2517
```



11.
First-principles (GGA-PBE) data for a relaxed structure of NaAcTb2Se4, as listed in Alexandria via LeMat-Bulk.

Results
Raw formation energy in meV/atom: -1758
Mass density in g/cm3: 6.8
Total magnetization in μB/f.u.: 0.000

```
data_NaAcTb2Se4
_space_group_name_H-M_alt 'P 1 2/m 1'
_space_group_IT_number 10
_space_group_name_Hall '-P 2y'
_cell_length_a 7.2618
_cell_length_b 4.1860
_cell_length_c 7.4813
_cell_angle_alpha 90.00
_cell_angle_beta 108.69
_cell_angle_gamma 90.00
loop_
_atom_site_label
_atom_site_fract_x
_atom_site_fract_y
_atom_site_fract_z
Na1 0.0000 0.0000 0.0000
Ac1 0.5000 0.5000 0.0000
Tb1 0.0000 0.5000 0.5000
Tb2 0.5000 0.0000 0.5000
Se1 0.2358 0.0000 0.7307
Se2 0.2516 0.5000 0.2677
```



12.
First-principles (GGA-PBE) data for a relaxed structure of NaAc3Tb2Se6, as listed in Alexandria via LeMat-Bulk.

Results
Raw formation energy in meV/atom: -1775
Mass density in g/cm3: 7.3
Total magnetization in μB/f.u.: 0.000

```
data_NaAc3Tb2Se6
_space_group_name_H-M_alt 'C 1 2/m 1'
_space_group_IT_number 12
_space_group_name_Hall '-C 2y'
_cell_length_a 7.4317
_cell_length_b 12.8956
_cell_length_c 7.4809
_cell_angle_alpha 90.00
_cell_angle_beta 109.37
_cell_angle_gamma 90.00
loop_
_atom_site_label
_atom_site_fract_x
_atom_site_fract_y
_atom_site_fract_z
Na1 0.0000 0.0000 0.0000
Ac1 0.0000 0.1638 0.5000
Ac2 0.0000 0.5000 0.5000
Tb1 0.0000 0.3338 0.0000
Se1 0.2386 0.5000 0.2212
Se2 0.2439 0.1685 0.2272
```



13.
First-principles (GGA-PBE) data for a relaxed structure of Na3Ac2TbSe6, as listed in Alexandria via LeMat-Bulk.

Results
Raw formation energy in meV/atom: -1707
Mass density in g/cm3: 5.4
Total magnetization in μB/f.u.: 0.000

```
data_Na3Ac2TbSe6
_space_group_name_H-M_alt 'C 1 2/m 1'
_space_group_IT_number 12
_space_group_name_Hall '-C 2y'
_cell_length_a 18.9812
_cell_length_b 4.3981
_cell_length_c 8.6799
_cell_angle_alpha 90.00
_cell_angle_beta 101.87
_cell_angle_gamma 90.00
loop_
_atom_site_label
_atom_site_fract_x
_atom_site_fract_y
_atom_site_fract_z
Na1 0.0000 0.0000 0.0000
Na2 0.1631 0.5000 0.3304
Ac1 0.1647 0.5000 0.8259
Tb1 0.0000 0.0000 0.5000
Se1 0.0006 0.5000 0.2731
Se2 0.1574 0.0000 0.5736
Se3 0.1669 0.0000 0.0803
```



14.
First-principles (GGA-PBE) data for a relaxed structure of Na3AcTb2Se6, as listed in Alexandria via LeMat-Bulk.

Results
Raw formation energy in meV/atom: -1704
Mass density in g/cm3: 5.4
Total magnetization in μB/f.u.: 0.000

```
data_Na3AcTb2Se6
_space_group_name_H-M_alt 'C 1 2/m 1'
_space_group_IT_number 12
_space_group_name_Hall '-C 2y'
_cell_length_a 7.4210
_cell_length_b 12.8613
_cell_length_c 7.4480
_cell_angle_alpha 90.00
_cell_angle_beta 109.51
_cell_angle_gamma 90.00
loop_
_atom_site_label
_atom_site_fract_x
_atom_site_fract_y
_atom_site_fract_z
Na1 0.0000 0.0000 0.0000
Na2 0.0000 0.3344 0.0000
Ac1 0.0000 0.5000 0.5000
Tb1 0.0000 0.1670 0.5000
Se1 0.2274 0.0000 0.7355
Se2 0.2461 0.1756 0.2665
```



15.
First-principles (GGA-PBE) data for a relaxed structure of NaAc2TbSe4, as listed in Alexandria via LeMat-Bulk.

Results
Raw formation energy in meV/atom: -1756
Mass density in g/cm3: 6.9
Total magnetization in μB/f.u.: 0.000

```
data_NaAc2TbSe4
_space_group_name_H-M_alt 'P 1 2/m 1'
_space_group_IT_number 10
_space_group_name_Hall '-P 2y'
_cell_length_a 7.4121
_cell_length_b 4.3287
_cell_length_c 7.5523
_cell_angle_alpha 90.00
_cell_angle_beta 109.50
_cell_angle_gamma 90.00
loop_
_atom_site_label
_atom_site_fract_x
_atom_site_fract_y
_atom_site_fract_z
Na1 0.0000 0.0000 0.0000
Ac1 0.5000 0.0000 0.5000
Ac2 0.5000 0.5000 0.0000
Tb1 0.0000 0.5000 0.5000
Se1 0.2264 0.0000 0.7396
Se2 0.2318 0.5000 0.2495
```



16.
First-principles (GGA-PBE) data for a relaxed structure of Na3Ac2ThSe6, as listed in Alexandria via LeMat-Bulk.

Results
Raw formation energy in meV/atom: -1624
Mass density in g/cm3: 5.7
Total magnetization in μB/f.u.: 0.001

```
data_Na3Ac2ThSe6
_space_group_name_H-M_alt 'C 1 2/m 1'
_space_group_IT_number 12
_space_group_name_Hall '-C 2y'
_cell_length_a 18.9803
_cell_length_b 4.3828
_cell_length_c 8.7383
_cell_angle_alpha 90.00
_cell_angle_beta 102.22
_cell_angle_gamma 90.00
loop_
_atom_site_label
_atom_site_fract_x
_atom_site_fract_y
_atom_site_fract_z
Na1 0.0000 0.0000 0.0000
Na2 0.1671 0.5000 0.3312
Ac1 0.1661 0.5000 0.8318
Th1 0.0000 0.0000 0.5000
Se1 0.0019 0.5000 0.2678
Se2 0.1596 0.0000 0.5735
Se3 0.1657 0.0000 0.0837
```



17.
First-principles (GGA-PBE) data for a relaxed structure of NaAc2ThSe4, as listed in Alexandria via LeMat-Bulk.

Results
Raw formation energy in meV/atom: -1678
Mass density in g/cm3: 7.3
Total magnetization in μB/f.u.: 0.000

```
data_NaAc2ThSe4
_space_group_name_H-M_alt 'P 1 2/m 1'
_space_group_IT_number 10
_space_group_name_Hall '-P 2y'
_cell_length_a 7.4532
_cell_length_b 4.3388
_cell_length_c 7.6041
_cell_angle_alpha 90.00
_cell_angle_beta 109.22
_cell_angle_gamma 90.00
loop_
_atom_site_label
_atom_site_fract_x
_atom_site_fract_y
_atom_site_fract_z
Na1 0.0000 0.0000 0.0000
Ac1 0.5000 0.0000 0.5000
Ac2 0.5000 0.5000 0.0000
Th1 0.0000 0.5000 0.5000
Se1 0.2302 0.0000 0.7468
Se2 0.2327 0.5000 0.2466
```



18.
First-principles (GGA-PBE) data for a relaxed structure of Na3Ac2TiSe6, as listed in Alexandria via LeMat-Bulk.

Results
Raw formation energy in meV/atom: -1471
Mass density in g/cm3: 5.1
Total magnetization in μB/f.u.: 1.001

```
data_Na3Ac2TiSe6
_space_group_name_H-M_alt 'C 1 2/m 1'
_space_group_IT_number 12
_space_group_name_Hall '-C 2y'
_cell_length_a 7.4650
_cell_length_b 12.8661
_cell_length_c 7.4443
_cell_angle_alpha 90.00
_cell_angle_beta 109.47
_cell_angle_gamma 90.00
loop_
_atom_site_label
_atom_site_fract_x
_atom_site_fract_y
_atom_site_fract_z
Na1 0.0000 0.0000 0.0000
Na2 0.0000 0.3350 0.0000
Ac1 0.0000 0.1690 0.5000
Ti1 0.0000 0.5000 0.5000
Se1 0.2167 0.5000 0.2781
Se2 0.2299 0.3511 0.7359
```



19.
First-principles (GGA-PBE) data for a relaxed structure of NaAcTmSe3, as listed in Alexandria via LeMat-Bulk.

Results
Raw formation energy in meV/atom: -1557
Mass density in g/cm3: 6.9
Total magnetization in μB/f.u.: 0.471

```
data_NaAcTmSe3
_space_group_name_H-M_alt 'P 1 21/m 1'
_space_group_IT_number 11
_space_group_name_Hall '-P 2yb'
_cell_length_a 7.9626
_cell_length_b 4.3765
_cell_length_c 9.5828
_cell_angle_alpha 90.00
_cell_angle_beta 109.49
_cell_angle_gamma 90.00
loop_
_atom_site_label
_atom_site_fract_x
_atom_site_fract_y
_atom_site_fract_z
Na1 0.1014 0.2500 0.0856
Ac1 0.2381 0.2500 0.7531
Tm1 0.3093 0.7500 0.3460
Se1 0.0824 0.2500 0.3740
Se2 0.2902 0.7500 0.0246
Se3 0.4563 0.7500 0.6539
```



20.
First-principles (GGA-PBE) data for a relaxed structure of NaAcTm2Se4, as listed in Alexandria via LeMat-Bulk.

Results
Raw formation energy in meV/atom: -1716
Mass density in g/cm3: 7.2
Total magnetization in μB/f.u.: 0.000

```
data_NaAcTm2Se4
_space_group_name_H-M_alt 'P 1 2/m 1'
_space_group_IT_number 10
_space_group_name_Hall '-P 2y'
_cell_length_a 7.1899
_cell_length_b 4.1240
_cell_length_c 7.4343
_cell_angle_alpha 90.00
_cell_angle_beta 108.45
_cell_angle_gamma 90.00
loop_
_atom_site_label
_atom_site_fract_x
_atom_site_fract_y
_atom_site_fract_z
Na1 0.0000 0.0000 0.0000
Ac1 0.5000 0.5000 0.0000
Tm1 0.0000 0.5000 0.5000
Tm2 0.5000 0.0000 0.5000
Se1 0.2330 0.0000 0.7241
Se2 0.2530 0.5000 0.2736
```